(1)
VASP calculation (PBE-GGA) on Zr2Cr after structural relaxation.

abc: 7.930 7.930 3.305
angles: 90.00 90.00 120.00
Last column: magnetic moment on the atom in μB.
Fractional coordinates of all 9 atoms:
Zr 0.000 0.260 0.000  -0.12
Zr 0.000 0.607 0.500  -0.20
Zr 0.260 0.000 0.000  -0.12
Zr 0.740 0.740 0.000  -0.12
Zr 0.607 0.000 0.500  -0.20
Zr 0.393 0.393 0.500  -0.20
Cr 0.000 0.000 0.500  0.62
Cr 0.333 0.667 0.000  2.72
Cr 0.667 0.333 0.000  2.72

Calculated values
Crystal system: hexagonal
ρ, Mg/m³: 6.5
Formation energy, eV per atom: 0.187
Electronic total energy, eV per atom: -8.7197
Fermi-level density of states, states/eV/f.u.: 3.13
M_tot, μB/cell: 5.2

---

(2)
VASP calculation (PBE-GGA) on Zr2Cr after structural relaxation.

abc: 7.450 7.450 4.833
angles: 90.00 90.00 154.26
Last column: magnetic moment on the atom in μB.
Fractional coordinates of all 6 atoms:
Zr 0.579 0.421 0.750  -0.17
Zr 0.421 0.579 0.250  -0.17
Zr 0.274 0.726 0.750  -0.06
Zr 0.726 0.274 0.250  -0.06
Cr 0.929 0.071 0.750  1.68
Cr 0.071 0.929 0.250  1.68

Calculated values
Crystal system: orthorhombic
ρ, Mg/m³: 6.7
Formation energy, eV per atom: 0.165
Electronic total energy, eV per atom: -8.7415
Fermi-level density of states, states/eV/f.u.: 3.55
M_tot, μB/cell: 3.0